CaMn3O6: optimized geometry, GGA+U.

**Total moment**: 11.00 Bohr magnetons per cell
**ΔE to the lowest computed polymorph**: 143.7 meV per atom

Cell: 7.092 7.092 5.732 Å, 88.71 88.71 24.13°
Element x y z (fractional)
Ca 0.796 0.796 0.920
Mn 0.019 0.019 0.052
Mn 0.341 0.341 0.428
Mn 0.642 0.642 0.533
O 0.589 0.589 0.904
O 0.420 0.420 0.121
O 0.083 0.083 0.377
O 0.897 0.897 0.591
O 0.231 0.231 0.665
O 0.768 0.768 0.295